Ga2HgGe: optimized geometry, PBE.

Values from the calculation:
- space group = No. 123
- formation energy from the elements (eV per atom) = 0.14

Unit cell a=3.515 b=3.515 c=6.682 alpha=90.00 beta=90.00 gamma=90.00
Atoms (fractional coordinates):
Ga1 0.000 0.000 0.226
Ga2 0.000 0.000 0.774
Hg1 0.500 0.500 0.500
Ge1 0.500 0.500 0.000

GaHgGe2: optimized geometry, PBE.

Values from the calculation:
- space group = No. 225
- formation energy from the elements (eV per atom) = 0.29
- energy relative to the lowest polymorph listed for this composition (eV per atom) = 0.000

Unit cell a=6.942 b=6.942 c=6.942 alpha=90.00 beta=90.00 gamma=90.00
Atoms (fractional coordinates):
Ga1 0.000 0.000 0.000
Ga2 0.000 0.500 0.500
Ga3 0.500 0.000 0.500
Ga4 0.500 0.500 0.000
Hg1 0.000 0.000 0.500
Hg2 0.000 0.500 0.000
Hg3 0.500 0.000 0.000
Hg4 0.500 0.500 0.500
Ge1 0.250 0.250 0.250
Ge2 0.250 0.250 0.750
Ge3 0.250 0.750 0.250
Ge4 0.250 0.750 0.750
Ge5 0.750 0.250 0.250
Ge6 0.750 0.250 0.750
Ge7 0.750 0.750 0.250
Ge8 0.750 0.750 0.750

Ga3HgGe: optimized geometry, PBE.

Values from the calculation:
- space group = No. 221
- formation energy from the elements (eV per atom) = 0.35
- energy relative to the lowest polymorph listed for this composition (eV per atom) = 0.000

Unit cell a=5.074 b=5.074 c=5.074 alpha=90.00 beta=90.00 gamma=90.00
Atoms (fractional coordinates):
Ga1 0.000 0.000 0.500
Ga2 0.000 0.500 0.000
Ga3 0.500 0.000 0.000
Hg1 0.500 0.500 0.500
Ge1 0.000 0.000 0.000

Ga2Hg2Ge: optimized geometry, PBE.

Values from the calculation:
- space group = No. 139
- formation energy from the elements (eV per atom) = 0.30
- energy relative to the lowest polymorph listed for this composition (eV per atom) = 0.164

Unit cell a=4.253 b=4.253 c=12.645 alpha=90.00 beta=90.00 gamma=90.00
Atoms (fractional coordinates):
Ga1 0.000 0.000 0.098
Ga2 0.000 0.000 0.902
Ga3 0.500 0.500 0.402
Ga4 0.500 0.500 0.598
Hg1 0.000 0.500 0.250
Hg2 0.000 0.500 0.750
Hg3 0.500 0.000 0.250
Hg4 0.500 0.000 0.750
Ge1 0.000 0.000 0.500
Ge2 0.500 0.500 0.000

Ga2HgGe: optimized geometry, PBE.

Values from the calculation:
- space group = No. 166
- formation energy from the elements (eV per atom) = 0.09

Unit cell a=3.950 b=3.950 c=19.512 alpha=90.00 beta=90.00 gamma=120.00
Atoms (fractional coordinates):
Ga1 0.000 0.000 0.237
Ga2 0.000 0.000 0.763
Ga3 0.333 0.667 0.430
Ga4 0.333 0.667 0.903
Ga5 0.667 0.333 0.097
Ga6 0.667 0.333 0.570
Hg1 0.000 0.000 0.000
Hg2 0.333 0.667 0.667
Hg3 0.667 0.333 0.333
Ge1 0.000 0.000 0.500
Ge2 0.333 0.667 0.167
Ge3 0.667 0.333 0.833

GaHg2Ge2: optimized geometry, PBE.

Values from the calculation:
- space group = No. 127
- formation energy from the elements (eV per atom) = 0.30
- energy relative to the lowest polymorph listed for this composition (eV per atom) = 0.081

Unit cell a=8.794 b=8.794 c=2.995 alpha=90.00 beta=90.00 gamma=90.00
Atoms (fractional coordinates):
Ga1 0.000 0.000 0.000
Ga2 0.500 0.500 0.000
Hg1 0.167 0.333 0.000
Hg2 0.333 0.833 0.000
Hg3 0.667 0.167 0.000
Hg4 0.833 0.667 0.000
Ge1 0.132 0.632 0.500
Ge2 0.368 0.132 0.500
Ge3 0.632 0.868 0.500
Ge4 0.868 0.368 0.500

Ga2HgGe: optimized geometry, PBE.

Values from the calculation:
- space group = No. 160
- formation energy from the elements (eV per atom) = 0.11

Unit cell a=4.091 b=4.091 c=18.498 alpha=90.00 beta=90.00 gamma=120.00
Atoms (fractional coordinates):
Ga1 0.000 0.000 0.000
Ga2 0.000 0.000 0.197
Ga3 0.333 0.667 0.667
Ga4 0.333 0.667 0.864
Ga5 0.667 0.333 0.333
Ga6 0.667 0.333 0.530
Hg1 0.000 0.000 0.427
Hg2 0.333 0.667 0.094
Hg3 0.667 0.333 0.761
Ge1 0.000 0.000 0.597
Ge2 0.333 0.667 0.263
Ge3 0.667 0.333 0.930

Ga2HgGe: optimized geometry, PBE.

Values from the calculation:
- space group = No. 123
- formation energy from the elements (eV per atom) = 0.14

Unit cell a=5.124 b=5.124 c=3.168 alpha=90.00 beta=90.00 gamma=90.00
Atoms (fractional coordinates):
Ga1 0.000 0.500 0.000
Ga2 0.500 0.000 0.000
Hg1 0.000 0.000 0.500
Ge1 0.500 0.500 0.500

GaHg2Ge2: optimized geometry, PBE.

Values from the calculation:
- space group = No. 139
- formation energy from the elements (eV per atom) = 0.23
- energy relative to the lowest polymorph listed for this composition (eV per atom) = 0.010

Unit cell a=3.698 b=3.698 c=17.036 alpha=90.00 beta=90.00 gamma=90.00
Atoms (fractional coordinates):
Ga1 0.000 0.000 0.000
Ga2 0.500 0.500 0.500
Hg1 0.000 0.000 0.403
Hg2 0.000 0.000 0.597
Hg3 0.500 0.500 0.097
Hg4 0.500 0.500 0.903
Ge1 0.000 0.500 0.250
Ge2 0.000 0.500 0.750
Ge3 0.500 0.000 0.250
Ge4 0.500 0.000 0.750

GaHg2Ge2: optimized geometry, PBE.

Values from the calculation:
- space group = No. 139
- formation energy from the elements (eV per atom) = 0.29
- energy relative to the lowest polymorph listed for this composition (eV per atom) = 0.066

Unit cell a=4.607 b=4.607 c=11.510 alpha=90.00 beta=90.00 gamma=90.00
Atoms (fractional coordinates):
Ga1 0.000 0.000 0.000
Ga2 0.500 0.500 0.500
Hg1 0.000 0.500 0.250
Hg2 0.000 0.500 0.750
Hg3 0.500 0.000 0.250
Hg4 0.500 0.000 0.750
Ge1 0.000 0.000 0.393
Ge2 0.000 0.000 0.607
Ge3 0.500 0.500 0.107
Ge4 0.500 0.500 0.893

Ga3HgGe: optimized geometry, PBE.

Values from the calculation:
- space group = No. 221
- formation energy from the elements (eV per atom) = 0.65
- energy relative to the lowest polymorph listed for this composition (eV per atom) = 0.306

Unit cell a=5.159 b=5.159 c=5.159 alpha=90.00 beta=90.00 gamma=90.00
Atoms (fractional coordinates):
Ga1 0.000 0.000 0.500
Ga2 0.000 0.500 0.000
Ga3 0.500 0.000 0.000
Hg1 0.000 0.000 0.000
Ge1 0.500 0.500 0.500

Ga2HgGe: optimized geometry, PBE.

Values from the calculation:
- space group = No. 122
- formation energy from the elements (eV per atom) = 0.20

Unit cell a=6.496 b=6.496 c=9.958 alpha=90.00 beta=90.00 gamma=90.00
Atoms (fractional coordinates):
Ga1 0.216 0.250 0.125
Ga2 0.250 0.716 0.375
Ga3 0.250 0.784 0.875
Ga4 0.284 0.250 0.625
Ga5 0.716 0.750 0.625
Ga6 0.750 0.216 0.875
Ga7 0.750 0.284 0.375
Ga8 0.784 0.750 0.125
Hg1 0.000 0.000 0.500
Hg2 0.000 0.500 0.750
Hg3 0.500 0.000 0.250
Hg4 0.500 0.500 0.000
Ge1 0.000 0.000 0.000
Ge2 0.000 0.500 0.250
Ge3 0.500 0.000 0.750
Ge4 0.500 0.500 0.500

GaHg2Ge2: optimized geometry, PBE.

Values from the calculation:
- space group = No. 127
- formation energy from the elements (eV per atom) = 0.22
- energy relative to the lowest polymorph listed for this composition (eV per atom) = 0.000

Unit cell a=7.092 b=7.092 c=4.498 alpha=90.00 beta=90.00 gamma=90.00
Atoms (fractional coordinates):
Ga1 0.000 0.000 0.000
Ga2 0.500 0.500 0.000
Hg1 0.181 0.319 0.500
Hg2 0.319 0.819 0.500
Hg3 0.681 0.181 0.500
Hg4 0.819 0.681 0.500
Ge1 0.131 0.631 0.000
Ge2 0.369 0.131 0.000
Ge3 0.631 0.869 0.000
Ge4 0.869 0.369 0.000

GaHgGe2: optimized geometry, PBE.

Values from the calculation:
- space group = No. 122
- formation energy from the elements (eV per atom) = 0.33
- energy relative to the lowest polymorph listed for this composition (eV per atom) = 0.036

Unit cell a=6.325 b=6.325 c=10.509 alpha=90.00 beta=90.00 gamma=90.00
Atoms (fractional coordinates):
Ga1 0.000 0.000 0.000
Ga2 0.000 0.500 0.250
Ga3 0.500 0.000 0.750
Ga4 0.500 0.500 0.500
Hg1 0.000 0.000 0.500
Hg2 0.000 0.500 0.750
Hg3 0.500 0.000 0.250
Hg4 0.500 0.500 0.000
Ge1 0.223 0.250 0.125
Ge2 0.250 0.723 0.375
Ge3 0.250 0.777 0.875
Ge4 0.277 0.250 0.625
Ge5 0.723 0.750 0.625
Ge6 0.750 0.223 0.875
Ge7 0.750 0.277 0.375
Ge8 0.777 0.750 0.125

GaHg2GeI: optimized geometry, PBE.

Values from the calculation:
- formation energy without anion corrections (eV/atom) = 0.02
- space group = No. 123

Unit cell a=5.366 b=5.366 c=5.374 alpha=90.00 beta=90.00 gamma=90.00
Atoms (fractional coordinates):
Ga1 0.000 0.000 0.000
Hg1 0.000 0.500 0.500
Hg2 0.500 0.000 0.500
Ge1 0.000 0.000 0.500
I1 0.500 0.500 0.000

Ga2HgGeI8: optimized geometry, PBE.

Values from the calculation:
- formation energy without anion corrections (eV/atom) = -0.35
- space group = No. 12

Unit cell a=8.406 b=8.406 c=10.519 alpha=101.84 beta=101.84 gamma=59.91
Atoms (fractional coordinates):
Ga1 0.182 0.182 0.083
Ga2 0.818 0.818 0.917
Hg1 0.000 0.000 0.500
Ge1 0.500 0.500 0.000
I1 0.134 0.633 0.813
I2 0.137 0.137 0.837
I3 0.366 0.366 0.187
I4 0.367 0.866 0.187
I5 0.633 0.134 0.813
I6 0.634 0.634 0.813
I7 0.863 0.863 0.163
I8 0.866 0.367 0.187

Ga2HgGeI: optimized geometry, PBE.

Values from the calculation:
- formation energy without anion corrections (eV/atom) = 0.70
- space group = No. 123

Unit cell a=6.025 b=6.025 c=5.572 alpha=90.00 beta=90.00 gamma=90.00
Atoms (fractional coordinates):
Ga1 0.000 0.500 0.000
Ga2 0.500 0.000 0.000
Hg1 0.000 0.000 0.500
Ge1 0.500 0.500 0.500
I1 0.500 0.500 0.000

InGaHgGe: optimized geometry, PBE.

Values from the calculation:
- space group = No. 216
- formation energy from the elements (eV per atom) = 0.14

Unit cell a=7.160 b=7.160 c=7.160 alpha=90.00 beta=90.00 gamma=90.00
Atoms (fractional coordinates):
In1 0.000 0.000 0.000
In2 0.000 0.500 0.500
In3 0.500 0.000 0.500
In4 0.500 0.500 0.000
Ga1 0.000 0.000 0.500
Ga2 0.000 0.500 0.000
Ga3 0.500 0.000 0.000
Ga4 0.500 0.500 0.500
Hg1 0.250 0.250 0.250
Hg2 0.250 0.750 0.750
Hg3 0.750 0.250 0.750
Hg4 0.750 0.750 0.250
Ge1 0.250 0.250 0.750
Ge2 0.250 0.750 0.250
Ge3 0.750 0.250 0.250
Ge4 0.750 0.750 0.750

La2GaHgGe: optimized geometry, PBE.

Values from the calculation:
- space group = No. 11
- formation energy from the elements (eV per atom) = -0.59

Unit cell a=7.641 b=4.722 c=7.739 alpha=90.00 beta=92.19 gamma=90.00
Atoms (fractional coordinates):
La1 0.206 0.250 0.486
La2 0.236 0.250 0.990
La3 0.764 0.750 0.010
La4 0.794 0.750 0.514
Ga1 0.421 0.750 0.286
Ga2 0.579 0.250 0.714
Hg1 0.388 0.750 0.720
Hg2 0.612 0.250 0.280
Ge1 0.098 0.750 0.229
Ge2 0.902 0.250 0.771

MgGaHgGe2: optimized geometry, PBE.

Values from the calculation:
- space group = No. 123
- formation energy from the elements (eV per atom) = 0.67

Unit cell a=5.277 b=5.277 c=5.162 alpha=90.00 beta=90.00 gamma=90.00
Atoms (fractional coordinates):
Mg1 0.000 0.000 0.000
Ga1 0.500 0.500 0.000
Hg1 0.500 0.500 0.500
Ge1 0.000 0.500 0.500
Ge2 0.500 0.000 0.500

MgGaHgGe: optimized geometry, PBE.

Values from the calculation:
- space group = No. 216
- formation energy from the elements (eV per atom) = 0.06

Unit cell a=6.948 b=6.948 c=6.948 alpha=90.00 beta=90.00 gamma=90.00
Atoms (fractional coordinates):
Mg1 0.000 0.000 0.000
Mg2 0.000 0.500 0.500
Mg3 0.500 0.000 0.500
Mg4 0.500 0.500 0.000
Ga1 0.000 0.000 0.500
Ga2 0.000 0.500 0.000
Ga3 0.500 0.000 0.000
Ga4 0.500 0.500 0.500
Hg1 0.250 0.250 0.250
Hg2 0.250 0.750 0.750
Hg3 0.750 0.250 0.750
Hg4 0.750 0.750 0.250
Ge1 0.250 0.250 0.750
Ge2 0.250 0.750 0.250
Ge3 0.750 0.250 0.250
Ge4 0.750 0.750 0.750

MnGaHgGe2: optimized geometry, PBE.

Values from the calculation:
- space group = No. 123
- formation energy from the elements (eV per atom) = 0.06

Unit cell a=4.606 b=4.606 c=4.789 alpha=90.00 beta=90.00 gamma=90.00
Atoms (fractional coordinates):
Mn1 0.000 0.000 0.000
Ga1 0.000 0.000 0.500
Hg1 0.500 0.500 0.500
Ge1 0.000 0.500 0.000
Ge2 0.500 0.000 0.000

NbGaHgGe2: optimized geometry, PBE.

Values from the calculation:
- space group = No. 123
- formation energy from the elements (eV per atom) = 1.02

Unit cell a=4.817 b=4.817 c=5.091 alpha=90.00 beta=90.00 gamma=90.00
Atoms (fractional coordinates):
Nb1 0.000 0.000 0.000
Ga1 0.500 0.500 0.500
Hg1 0.500 0.500 0.000
Ge1 0.000 0.500 0.500
Ge2 0.500 0.000 0.500

Ga2HgGePb: optimized geometry, PBE.

Values from the calculation:
- space group = No. 123
- formation energy from the elements (eV per atom) = 0.63

Unit cell a=5.060 b=5.060 c=5.923 alpha=90.00 beta=90.00 gamma=90.00
Atoms (fractional coordinates):
Ga1 0.000 0.500 0.000
Ga2 0.500 0.000 0.000
Hg1 0.000 0.000 0.000
Ge1 0.500 0.500 0.500
Pb1 0.000 0.000 0.500

PmGaHgGe: optimized geometry, PBE.

Values from the calculation:
- space group = No. 216
- formation energy from the elements (eV per atom) = -0.24

Unit cell a=7.198 b=7.198 c=7.198 alpha=90.00 beta=90.00 gamma=90.00
Atoms (fractional coordinates):
Pm1 0.000 0.000 0.000
Pm2 0.000 0.500 0.500
Pm3 0.500 0.000 0.500
Pm4 0.500 0.500 0.000
Ga1 0.000 0.000 0.500
Ga2 0.000 0.500 0.000
Ga3 0.500 0.000 0.000
Ga4 0.500 0.500 0.500
Hg1 0.250 0.250 0.750
Hg2 0.250 0.750 0.250
Hg3 0.750 0.250 0.250
Hg4 0.750 0.750 0.750
Ge1 0.250 0.250 0.250
Ge2 0.250 0.750 0.750
Ge3 0.750 0.250 0.750
Ge4 0.750 0.750 0.250

Ga2HgGeRu: optimized geometry, PBE.

Values from the calculation:
- space group = No. 123
- formation energy from the elements (eV per atom) = 0.41
- energy relative to the lowest polymorph listed for this composition (eV per atom) = 0.000

Unit cell a=4.738 b=4.738 c=5.330 alpha=90.00 beta=90.00 gamma=90.00
Atoms (fractional coordinates):
Ga1 0.000 0.500 0.000
Ga2 0.500 0.000 0.000
Hg1 0.000 0.000 0.500
Ge1 0.500 0.500 0.500
Ru1 0.000 0.000 0.000

Ga2HgGeRu: optimized geometry, PBE.

Values from the calculation:
- space group = No. 123
- formation energy from the elements (eV per atom) = 0.67
- energy relative to the lowest polymorph listed for this composition (eV per atom) = 0.268

Unit cell a=4.925 b=4.925 c=4.726 alpha=90.00 beta=90.00 gamma=90.00
Atoms (fractional coordinates):
Ga1 0.000 0.500 0.000
Ga2 0.500 0.000 0.000
Hg1 0.000 0.000 0.500
Ge1 0.500 0.500 0.000
Ru1 0.500 0.500 0.500

Respective calculated volume values: 20.64; 20.91; 26.13; 22.88; 21.97; 23.16; 22.34; 20.80; 23.29; 24.43; 27.46; 26.26; 22.62; 26.28; 30.95; 52.07; 40.46; 22.95; 27.90; 28.75; 20.96; 20.32; 23.62; 30.33; 23.31; 23.93; 22.93 A^3/atom.
Respective E values: -10.40; -45.62; -12.27; -19.57; -31.78; -22.71; -31.62; -10.43; -23.42; -22.86; -10.74; -40.71; -23.52; -45.04; -9.72; -27.56; -9.02; -40.56; -41.49; -10.81; -37.16; -21.42; -17.54; -11.54; -54.66; -18.22; -16.88 eV per cell.